(1)
# PBE Rb3NpBr6, optimized geometry
data_Rb3NpBr6
_chemical_formula_sum 'Rb6 Np2 Br12'
_cell_length_a 8.204
_cell_length_b 8.763
_cell_length_c 14.379
_cell_angle_alpha 90.00
_cell_angle_beta 124.76
_cell_angle_gamma 90.00
_symmetry_space_group_name_H-M 'P 1 21/c 1'
_symmetry_Int_Tables_number 14
loop_
_symmetry_equiv_pos_as_xyz
'x,y,z'
'-x,-y,-z'
'-x,y+1/2,-z+1/2'
'x,-y+1/2,z+1/2'
loop_
_atom_site_label
_atom_site_fract_x
_atom_site_fract_y
_atom_site_fract_z
Rb1 0.000 0.000 0.000
Rb2 0.279 0.075 0.750
Np1 0.500 0.000 0.500
Br1 0.146 0.055 0.274
Br2 0.282 0.681 0.063
Br3 0.405 0.223 0.071
# Final energy (eV/atom): -4.2014
# Spin magnetization (μB/f.u.): 4.00


(2)
# PBE TaCr2Mo, optimized geometry
data_TaCr2Mo
_chemical_formula_sum 'Ta2 Cr4 Mo2'
_cell_length_a 3.090
_cell_length_b 4.446
_cell_length_c 8.410
_cell_angle_alpha 90.00
_cell_angle_beta 90.00
_cell_angle_gamma 90.00
_symmetry_space_group_name_H-M 'C m m 2'
_symmetry_Int_Tables_number 35
loop_
_symmetry_equiv_pos_as_xyz
'x,y,z'
'-x,-y,z'
'-x,y,z'
'x,-y,z'
'x+1/2,y+1/2,z'
'-x+1/2,-y+1/2,z'
'-x+1/2,y+1/2,z'
'x+1/2,-y+1/2,z'
loop_
_atom_site_label
_atom_site_fract_x
_atom_site_fract_y
_atom_site_fract_z
Ta1 0.000 0.000 0.000
Cr1 0.000 0.000 0.527
Cr2 0.000 0.500 0.742
Mo1 0.000 0.500 0.281
# E_form (eV per atom): 0.07
# Spin magnetization (μB/f.u.): 0.00
# Distance to the lowest polymorph of the same formula (eV/atom): 0.093


Computed mass density, in the same sequence as the records: 3.80, 10.95 g/cm3.